An optimized crystal structure of LiFe5, computed with GGA-PBE.

Calculated volume ... 65.6 Å³ per cell
Total moment ... 1.813 μB/f.u.
DFT formation energy ... 0.2044 eV per atom

abc: 6.8016 6.8016 4.0394
angles: 90.00 90.00 159.44
With the nearest neighbours (Å) after each atom.
Sites, in units of the cell vectors:
Fe 0.7779 0.2221 0.5000  10 Fe 2.43-2.48, 2 Li 2.57
Fe 0.4375 0.5625 0.5000  10 Fe 2.43-2.51, 2 Li 2.59
Fe 0.3365 0.6635 0.0000  12 Fe 2.43-2.53
Fe 0.6709 0.3291 0.0000  8 Fe 2.43-2.56, 4 Li 2.50
Li 0.1084 0.8916 0.5000  2 Li 2.43, 10 Fe 2.47-2.59
Fe 0.0022 0.9978 0.0000  10 Fe 2.43-2.56, 2 Li 2.47

An optimized crystal structure of LiFe5, computed with GGA-PBE.

Calculated volume ... 69.0 Å³ per cell
Total moment ... 11.356 μB/f.u.
DFT formation energy ... 0.1503 eV per atom

abc: 2.8112 4.0462 6.3949
angles: 108.44 90.00 90.00
With the nearest neighbours (Å) after each atom.
Sites, in units of the cell vectors:
Fe 0.5000 0.5000 0.0000  4 Fe 2.44, 4 Li 2.46
Fe 0.5000 0.8305 0.6609  6 Fe 2.46, 2 Li 2.49
Fe 0.0000 0.3355 0.6709  8 Fe 2.44-2.46
Fe 0.5000 0.1695 0.3391  6 Fe 2.46, 2 Li 2.49
Li 0.0000 0.0000 0.0000  8 Fe 2.46-2.49
Fe 0.0000 0.6645 0.3291  8 Fe 2.44-2.46

An optimized crystal structure of LiFe2, computed with GGA-PBE.

Calculated volume ... 70.2 Å³ per cell
Total moment ... 4.980 μB/f.u.
DFT formation energy ... 0.4957 eV per atom

abc: 4.6023 4.6023 4.6023
angles: 101.83 101.83 126.15
With the nearest neighbours (Å) after each atom.
Sites, in units of the cell vectors:
Fe 0.6461 0.8539 0.5000  1 Fe 2.40, 4 Li 2.45
Fe 0.3539 0.1461 0.5000  1 Fe 2.40, 4 Li 2.45
Li 0.7500 0.7500 0.0000  2 Li 2.08
Li 0.2500 0.2500 0.0000  2 Li 2.08
Fe 0.1461 0.6461 0.7921  1 Fe 2.40, 4 Li 2.45
Fe 0.8539 0.3539 0.2079  1 Fe 2.40, 4 Li 2.45

An optimized crystal structure of LiFe4, computed with GGA-PBE.

Calculated volume ... 62.0 Å³ per cell
Total moment ... 10.332 μB/f.u.
DFT formation energy ... 1.0366 eV per atom

abc: 3.9586 3.9586 3.9586
angles: 90.00 90.00 90.00
With the nearest neighbours (Å) after each atom.
Sites, in units of the cell vectors:
Fe 0.0000 0.0000 0.0000  12 Fe 2.80
Li 0.5000 0.5000 0.5000  6 Fe 1.98
Fe 0.5000 0.0000 0.5000  2 Li 1.98
Fe 0.0000 0.5000 0.5000  2 Li 1.98
Fe 0.5000 0.5000 0.0000  2 Li 1.98

An optimized crystal structure of LiFe2, computed with GGA-PBE.

Calculated volume ... 36.1 Å³ per cell
Total moment ... 4.870 μB/f.u.
DFT formation energy ... 0.2514 eV per atom

abc: 4.4934 4.4934 4.4934
angles: 148.91 128.90 61.03
With the nearest neighbours (Å) after each atom.
Sites, in units of the cell vectors:
Fe 0.3273 0.3273 0.0000  7 Fe 2.41-2.67, 5 Li 2.53-2.64
Li 0.0000 0.0000 0.0000  2 Li 2.41, 10 Fe 2.53-2.64
Fe 0.6727 0.6727 0.0000  7 Fe 2.41-2.67, 5 Li 2.53-2.64

An optimized crystal structure of Li2Fe, computed with GGA-PBE.

Calculated volume ... 84.4 Å³ per cell
Total moment ... 2.210 μB/f.u.
DFT formation energy ... 0.2690 eV per atom

abc: 13.8474 13.8474 13.8474
angles: 169.73 169.73 14.54
With the nearest neighbours (Å) after each atom.
Sites, in units of the cell vectors:
Li 0.1732 0.6732 0.5000  4 Li 2.48, 4 Fe 2.74
Li 0.3268 0.8268 0.5000  4 Li 2.48, 4 Fe 2.74
Fe 0.7500 0.2500 0.5000  4 Fe 2.48, 8 Li 2.74
Fe 0.0000 0.0000 0.0000  4 Fe 2.48, 8 Li 2.74
Li 0.5768 0.5768 0.0000  4 Li 2.48, 4 Fe 2.74
Li 0.4232 0.4232 0.0000  4 Li 2.48, 4 Fe 2.74

An optimized crystal structure of LiFe5, computed with GGA-PBE.

Calculated volume ... 68.1 Å³ per cell
Total moment ... 2.353 μB/f.u.
DFT formation energy ... 0.2038 eV per atom

abc: 2.4304 2.4304 11.5211
angles: 90.00 90.00 90.00
With the nearest neighbours (Å) after each atom.
Sites, in units of the cell vectors:
Fe 0.5000 0.5000 0.3417  12 Fe 2.43-2.51
Fe 0.0000 0.0000 0.5000  12 Fe 2.43-2.51
Fe 0.5000 0.5000 0.6583  12 Fe 2.43-2.51
Fe 0.0000 0.0000 0.8158  8 Fe 2.43-2.50
Fe 0.0000 0.0000 0.1842  8 Fe 2.43-2.50
Li 0.5000 0.5000 0.0000  4 Li 2.43

An optimized crystal structure of Li2Fe, computed with GGA-PBE.

Calculated volume ... 98.5 Å³ per cell
Total moment ... 2.389 μB/f.u.
DFT formation energy ... 0.3809 eV per atom

abc: 5.1824 5.1824 5.1824
angles: 101.03 101.03 128.12
With the nearest neighbours (Å) after each atom.
Sites, in units of the cell vectors:
Li 0.6607 0.8393 0.5000  4 Fe 2.72, 3 Li 2.81-3.00
Li 0.8393 0.3393 0.1786  4 Fe 2.72, 3 Li 2.81-3.00
Fe 0.7500 0.7500 0.0000  2 Fe 2.27
Li 0.1607 0.6607 0.8214  4 Fe 2.72, 3 Li 2.81-3.00
Fe 0.2500 0.2500 0.0000  2 Fe 2.27
Li 0.3393 0.1607 0.5000  4 Fe 2.72, 3 Li 2.81-3.00